# 1
The following is a PBE calculation of an optimized crystal structure of Er3Si2P2, from the Open Quantum Materials Database.

Cell and atoms, written as POSCAR:
```
Er3Si2P2
1.0
1.9301 -10.5094 0.0000
1.9301 10.5094 0.0000
0.0000 0.0000 3.6834
Er Si P
3 2 2
Cartesian
0.0000 0.0000 0.0000
1.9301 7.0863 0.0000
1.9301 -7.0863 0.0000
1.9301 1.6014 1.8417
1.9301 -1.6014 1.8417
1.9301 3.9523 1.8417
1.9301 -3.9523 1.8417
```

Summary:
space group = Cmmm, No. 65
electronic total energy = -5.797 eV/atom

---

# 2
The following is a PBE calculation of an optimized crystal structure of SrLiDyTe3, from the Open Quantum Materials Database.

Cell and atoms, written as POSCAR:
```
SrLiDyTe3
1.0
9.5904 -2.2104 0.0000
9.5904 2.2104 0.0000
-2.2223 0.0000 8.9588
Sr Li Dy Te
2 2 2 6
Cartesian
2.3897 0.0000 0.6091
14.5686 0.0000 8.3497
8.5937 0.0000 2.6487
8.3647 0.0000 6.3101
1.8840 0.0000 5.2573
15.0743 0.0000 3.7015
-1.1112 0.0000 4.4794
5.7805 0.0000 1.5925
4.9278 0.0000 5.7703
9.5904 0.0000 0.0000
12.0305 0.0000 3.1885
11.1779 0.0000 7.3663
```

Summary:
space group = C2/m, No. 12
electronic total energy = -4.356 eV/atom

---

# 3
The following is a PBE calculation of an optimized crystal structure of In4Pd3Pt, from the Open Quantum Materials Database.

Cell and atoms, written as POSCAR:
```
In4Pd3Pt
1.0
3.7244 2.1503 3.0234
-3.7244 2.1503 3.0234
0.0000 -4.3005 3.0234
In Pd Pt
4 3 1
Cartesian
0.0000 0.0000 0.0000
-0.6859 -1.7525 4.9229
-1.1747 1.4703 4.9229
1.8606 0.2822 4.9230
-2.9682 -0.4514 4.0061
1.8750 -2.3448 4.0061
1.0931 2.7962 4.0061
0.0000 0.0000 2.7666
```

Summary:
space group = R3, No. 146
electronic total energy = -4.563 eV/atom

---

# 4
The following is a PBE calculation of an optimized crystal structure of AcBeTc, from the Open Quantum Materials Database.

Cell and atoms, written as POSCAR:
```
AcBeTc
1.0
0.0000 3.1803 3.1803
3.1803 0.0000 3.1803
3.1803 3.1803 0.0000
Ac Be Tc
1 1 1
Cartesian
0.0000 0.0000 0.0000
1.5902 1.5902 1.5902
3.1803 3.1803 3.1803
```

Summary:
space group = F-43m, No. 216
electronic total energy = -5.362 eV/atom

---

# 5
The following is a PBE calculation of an optimized crystal structure of SmErCd4, from the Open Quantum Materials Database.

Cell and atoms, written as POSCAR:
```
SmErCd4
1.0
3.3881 0.0000 0.0000
0.0000 4.9723 0.0000
-0.0026 0.0000 8.6157
Sm Er Cd
1 1 4
Cartesian
0.0000 0.0000 0.0000
-0.0013 2.4861 4.3079
1.6809 0.0000 5.7173
1.6829 2.4861 1.4656
1.7046 0.0000 2.8984
1.7025 2.4861 7.1501
```

Summary:
space group = P2/m, No. 10
electronic total energy = -2.470 eV/atom

---

# 6
The following is a PBE calculation of an optimized crystal structure of KHfAuSe2S, from the Open Quantum Materials Database.

Cell and atoms, written as POSCAR:
```
KHfAuSe2S
1.0
1.9628 -7.4422 0.0000
1.9628 7.4422 0.0000
0.0000 0.0000 10.1497
K Hf Au Se S
2 2 2 4 2
Cartesian
1.9628 3.7656 7.6123
1.9628 -3.7656 2.5374
1.9628 0.0000 0.0000
1.9628 0.0000 5.0749
1.9628 6.7052 2.5374
1.9628 -6.7052 7.6123
1.9628 5.5524 0.2677
1.9628 5.5524 4.8072
1.9628 -5.5524 5.3426
1.9628 -5.5524 9.8821
1.9628 0.9015 2.5374
1.9628 -0.9015 7.6123
```

Summary:
space group = Cmcm, No. 63
electronic total energy = -5.247 eV/atom

---

# 7
The following is a PBE calculation of an optimized crystal structure of PmHgNO, from the Open Quantum Materials Database.

Cell and atoms, written as POSCAR:
```
PmHgNO
1.0
5.1392 0.0000 0.0000
0.0000 5.1392 0.0000
0.0000 0.0000 4.6774
Pm Hg N O
2 2 2 2
Cartesian
1.2848 3.8544 0.0000
3.8544 1.2848 0.0000
1.2848 1.2848 2.3173
3.8544 3.8544 2.3601
1.2848 1.2848 4.6633
3.8544 3.8544 0.0141
1.2848 3.8544 2.3387
3.8544 1.2848 2.3387
```

Summary:
space group = P4/nmm, No. 129
electronic total energy = -5.570 eV/atom

---

# 8
The following is a PBE calculation of an optimized crystal structure of AgPbSF, from the Open Quantum Materials Database.

Cell and atoms, written as POSCAR:
```
AgPbSF
1.0
6.4934 0.0000 0.0000
0.0000 6.8654 0.0000
0.0000 0.0000 7.3137
Ag Pb S F
4 4 4 4
Cartesian
1.2758 0.5058 0.7396
1.9708 6.3596 4.3965
4.5225 2.9269 6.5741
5.2175 3.9386 2.9173
1.2868 2.8625 4.5219
1.9599 4.0030 0.8651
4.5335 0.5702 2.7918
5.2066 6.2952 6.4486
0.5925 5.7776 2.4941
2.6542 1.0878 6.1509
3.8392 4.5206 4.8196
5.9009 2.3449 1.1628
0.6442 4.6235 6.2299
2.6025 2.2419 2.5730
3.8909 5.6746 1.0838
5.8492 1.1908 4.7407
```

Summary:
space group = P2_12_12_1, No. 19
electronic total energy = -4.091 eV/atom

---

# 9
The following is a PBE calculation of an optimized crystal structure of SmPPdO, from the Open Quantum Materials Database.

Cell and atoms, written as POSCAR:
```
SmPPdO
1.0
3.5909 0.0000 0.0000
0.0000 7.6978 0.0000
0.0000 0.0000 5.6239
Sm P Pd O
2 2 2 2
Cartesian
0.0000 1.7260 0.0000
0.0000 5.9718 2.8119
0.0000 3.1179 2.8136
0.0000 4.5799 0.0017
1.7955 1.6817 2.8045
1.7955 6.0161 5.6164
1.7955 0.5537 5.5296
1.7955 7.1441 2.7177
```

Summary:
space group = Pmc2_1, No. 26
electronic total energy = -6.386 eV/atom

---

# 10
The following is a PBE calculation of an optimized crystal structure of ThUTl, from the Open Quantum Materials Database.

Cell and atoms, written as POSCAR:
```
ThUTl
1.0
0.0000 3.6435 3.6435
3.6435 0.0000 3.6435
3.6435 3.6435 0.0000
Th U Tl
1 1 1
Cartesian
0.0000 0.0000 0.0000
3.6435 3.6435 3.6435
1.8218 1.8218 1.8218
```

Summary:
space group = F-43m, No. 216
electronic total energy = -6.199 eV/atom

---

# 11
The following is a PBE calculation of an optimized crystal structure of ZrZnCuTc, from the Open Quantum Materials Database.

Cell and atoms, written as POSCAR:
```
ZrZnCuTc
1.0
0.0000 3.1630 3.1630
3.1630 0.0000 3.1630
3.1630 3.1630 0.0000
Zr Zn Cu Tc
1 1 1 1
Cartesian
0.0000 0.0000 0.0000
3.1630 3.1630 3.1630
4.7445 4.7445 4.7445
1.5815 1.5815 1.5815
```

Summary:
space group = F-43m, No. 216
electronic total energy = -5.961 eV/atom

---

# 12
The following is a PBE calculation of an optimized crystal structure of RbPuTe, from the Open Quantum Materials Database.

Cell and atoms, written as POSCAR:
```
RbPuTe
1.0
0.0000 3.9673 3.9673
3.9673 0.0000 3.9673
3.9673 3.9673 0.0000
Rb Pu Te
1 1 1
Cartesian
0.0000 0.0000 0.0000
3.9673 3.9673 3.9673
5.9510 5.9510 5.9510
```

Summary:
space group = F-43m, No. 216
electronic total energy = -6.341 eV/atom